A plane-wave DFT calculation with GGA-PBE was carried out for crystalline Ti3VHg at its relaxed geometry.

abc: 4.967 4.967 4.967
angles: 90.00 90.00 90.00
Site moments in Bohr magnetons follow the coordinates.
Element x y z (fractional)
V (0.500, 0.500, 0.500)  2.74
Hg (0.000, 0.000, 0.000)  0.05
Ti (0.000, 0.500, 0.000)  0.28
Ti (0.000, 0.000, 0.500)  0.28
Ti (0.500, 0.000, 0.000)  0.28

Output
The space group is Pm-3m. The value obtained for the total energy is -5.215 eV per atom. The value obtained for the distance to the lowest polymorph of the same formula is 792 meV per atom. The calculated density is 5.4 g/cm³. For the formation energy, the calculation gives 1.406 eV/atom. Its crystal system is cubic.



A plane-wave DFT calculation with GGA-PBE was carried out for crystalline TiVHg3 at its relaxed geometry.

abc: 5.167 5.167 5.167
angles: 90.00 90.00 90.00
Site moments in Bohr magnetons follow the coordinates.
Element x y z (fractional)
V (0.000, 0.000, 0.000)  2.42
Hg (0.000, 0.500, 0.000)  0.08
Hg (0.000, 0.000, 0.500)  0.08
Hg (0.500, 0.000, 0.000)  0.08
Ti (0.500, 0.500, 0.500)  1.88

Output
The space group is Pm-3m. The value obtained for the total energy is -2.606 eV per atom. The value obtained for the distance to the lowest polymorph of the same formula is 0 meV per atom. The calculated density is 8.4 g/cm³. For the formation energy, the calculation gives 0.978 eV/atom. Its crystal system is cubic.



A plane-wave DFT calculation with GGA-PBE was carried out for crystalline Ti3VHg at its relaxed geometry.

abc: 4.580 4.580 4.580
angles: 90.00 90.00 90.00
Element x y z (fractional)
V (0.000, 0.000, 0.000)
Hg (0.500, 0.500, 0.500)
Ti (0.000, 0.500, 0.000)
Ti (0.000, 0.000, 0.500)
Ti (0.500, 0.000, 0.000)

Output
The space group is Pm-3m. The value obtained for the total energy is -6.007 eV per atom. The value obtained for the distance to the lowest polymorph of the same formula is 0 meV per atom. The calculated density is 6.8 g/cm³. For the formation energy, the calculation gives 0.614 eV/atom. Its crystal system is cubic.



A plane-wave DFT calculation with GGA-PBE was carried out for crystalline TiVHg at its relaxed geometry.

abc: 3.240 3.240 5.454
angles: 107.28 107.28 90.00
Site moments in Bohr magnetons follow the coordinates.
Element x y z (fractional)
Ti (0.319, 0.319, 0.637)  0.14
Hg (0.002, 0.002, 0.005)  0.02
V (0.679, 0.679, 0.358)  1.19

Output
The space group is I4mm. The value obtained for the total energy is -5.624 eV per atom. The value obtained for the distance to the lowest polymorph of the same formula is 120 meV per atom. The calculated density is 9.6 g/cm³. For the formation energy, the calculation gives 0.148 eV/atom. Its crystal system is tetragonal.



A plane-wave DFT calculation with GGA-PBE was carried out for crystalline Ti2VHg at its relaxed geometry.

abc: 2.890 2.890 10.026
angles: 81.71 81.71 60.00
Element x y z (fractional)
Ti (0.082, 0.082, 0.753)
Ti (0.918, 0.918, 0.247)
Hg (0.500, 0.500, 0.500)
V (0.000, 0.000, 0.000)

Output
The space group is R-3m. The value obtained for the total energy is -5.886 eV per atom. The value obtained for the distance to the lowest polymorph of the same formula is 453 meV per atom. The calculated density is 8.1 g/cm³. For the formation energy, the calculation gives 0.416 eV/atom. Its crystal system is trigonal.



A plane-wave DFT calculation with GGA-PBE was carried out for crystalline Ti2VHg at its relaxed geometry.

abc: 3.867 4.185 4.185
angles: 90.00 90.00 90.00
Site moments in Bohr magnetons follow the coordinates.
Element x y z (fractional)
Ti (0.000, 0.000, 0.500)  -0.18
Ti (0.000, 0.500, 0.000)  -0.18
Hg (0.500, 0.500, 0.500)  -0.01
V (0.500, 0.000, 0.000)  1.18

Output
The space group is P4/mmm. The value obtained for the total energy is -6.226 eV per atom. The value obtained for the distance to the lowest polymorph of the same formula is 113 meV per atom. The calculated density is 8.5 g/cm³. For the formation energy, the calculation gives 0.076 eV/atom. Its crystal system is tetragonal.



A plane-wave DFT calculation with GGA-PBE was carried out for crystalline Ti2Hg2W at its relaxed geometry.

abc: 3.734 3.734 7.880
angles: 76.29 76.29 90.00
Element x y z (fractional)
Hg (0.750, 0.250, 0.500)
Hg (0.250, 0.750, 0.500)
W (0.000, 0.000, 0.000)
Ti (0.416, 0.416, 0.169)
Ti (0.584, 0.584, 0.831)

Output
The space group is I4/mmm. The value obtained for the total energy is -5.143 eV per atom. The value obtained for the distance to the lowest polymorph of the same formula is 216 meV per atom. The calculated density is 10.9 g/cm³. For the formation energy, the calculation gives 0.726 eV/atom. Its crystal system is tetragonal.



A plane-wave DFT calculation with GGA-PBE was carried out for crystalline TiHgW2 at its relaxed geometry.

abc: 3.855 3.855 10.372
angles: 79.29 79.29 90.00
Element x y z (fractional)
Hg (0.000, 0.000, 0.000)
Hg (0.750, 0.250, 0.500)
W (0.605, 0.125, 0.250)
W (0.145, 0.625, 0.250)
W (0.375, 0.395, 0.750)
W (0.875, 0.855, 0.750)
Ti (0.500, 0.500, 0.000)
Ti (0.250, 0.750, 0.500)

Output
The space group is I-42d. The value obtained for the total energy is -7.720 eV per atom. The calculated density is 13.8 g/cm³. For the formation energy, the calculation gives 0.805 eV/atom. Its crystal system is tetragonal.



| no. | calculated volume (Å³/atom) |
| --- | --- |
| 1 | 24.51 |
| 2 | 27.60 |
| 3 | 19.22 |
| 4 | 17.31 |
| 5 | 17.87 |
| 6 | 16.93 |
| 7 | 20.71 |
| 8 | 18.59 |